# 1
First-principles (SCAN) data for a PBEsol-optimized structure of ZnNi2Ir, as listed in Alexandria.

Summary:
ΔH_f (0 K) = -0.129 eV/atom
DFT total energy = -2.159 Ry/atom

abc: 5.162 7.097 2.609
angles: 90.00 90.00 90.00
Atoms (fractional coordinates):
1 Zn 0.000 0.000 0.000
2 Zn 0.500 0.500 0.000
3 Ni 0.250 0.250 0.500
4 Ni 0.250 0.750 0.500
5 Ni 0.750 0.250 0.500
6 Ni 0.750 0.750 0.500
7 Ir 0.000 0.500 0.000
8 Ir 0.500 0.000 0.000

---

# 2
First-principles (SCAN) data for a PBEsol-optimized structure of LiRe4, as listed in Alexandria.

Summary:
ΔH_f (0 K) = 1.512 eV/atom
DFT total energy = -4.104 Ry/atom

abc: 5.299 5.299 5.299
angles: 90.00 90.00 90.00
Atoms (fractional coordinates):
1 Li 0.000 0.000 0.000
2 Li 0.500 0.500 0.500
3 Re 0.250 0.250 0.250
4 Re 0.250 0.250 0.750
5 Re 0.250 0.750 0.250
6 Re 0.250 0.750 0.750
7 Re 0.750 0.250 0.250
8 Re 0.750 0.250 0.750
9 Re 0.750 0.750 0.250
10 Re 0.750 0.750 0.750

---

# 3
First-principles (SCAN) data for a PBEsol-optimized structure of InFeTc2Ni, as listed in Alexandria.

Summary:
ΔH_f (0 K) = 2.365 eV/atom
DFT total energy = -1.852 Ry/atom

abc: 4.852 4.852 4.569
angles: 90.00 90.00 90.00
Atoms (fractional coordinates):
1 In 0.000 0.000 0.000
2 Fe 0.000 0.000 0.500
3 Tc 0.000 0.500 0.000
4 Tc 0.500 0.000 0.000
5 Ni 0.500 0.500 0.500

---

# 4
First-principles (SCAN) data for a PBEsol-optimized structure of NaLiBr2, as listed in Alexandria.

Summary:
formation energy from raw total energies = -6.72 eV per formula unit
DFT total energy = -0.960 Ry/atom

abc: 6.448 6.448 11.043
angles: 90.00 90.00 90.00
Atoms (fractional coordinates):
1 Na 0.000 0.000 0.000
2 Na 0.000 0.500 0.250
3 Na 0.500 0.000 0.750
4 Na 0.500 0.500 0.500
5 Li 0.000 0.000 0.500
6 Li 0.000 0.500 0.750
7 Li 0.500 0.000 0.250
8 Li 0.500 0.500 0.000
9 Br 0.209 0.250 0.625
10 Br 0.250 0.709 0.875
11 Br 0.250 0.791 0.375
12 Br 0.291 0.250 0.125
13 Br 0.709 0.750 0.125
14 Br 0.750 0.209 0.375
15 Br 0.750 0.291 0.875
16 Br 0.791 0.750 0.625

---

# 5
First-principles (SCAN) data for a PBEsol-optimized structure of RbLaRe2, as listed in Alexandria.

Summary:
ΔH_f (0 K) = 2.145 eV/atom
DFT total energy = -3.628 Ry/atom

abc: 7.139 7.139 7.139
angles: 90.00 90.00 90.00
Atoms (fractional coordinates):
1 Rb 0.000 0.000 0.000
2 Rb 0.000 0.500 0.500
3 Rb 0.500 0.000 0.500
4 Rb 0.500 0.500 0.000
5 La 0.000 0.000 0.500
6 La 0.000 0.500 0.000
7 La 0.500 0.000 0.000
8 La 0.500 0.500 0.500
9 Re 0.250 0.250 0.250
10 Re 0.250 0.250 0.750
11 Re 0.250 0.750 0.250
12 Re 0.250 0.750 0.750
13 Re 0.750 0.250 0.250
14 Re 0.750 0.250 0.750
15 Re 0.750 0.750 0.250
16 Re 0.750 0.750 0.750

---

# 6
First-principles (SCAN) data for a PBEsol-optimized structure of TcOsRh2, as listed in Alexandria.

Summary:
ΔH_f (0 K) = -0.026 eV/atom
DFT total energy = -3.208 Ry/atom

abc: 2.683 2.683 7.629
angles: 90.00 90.00 90.00
Atoms (fractional coordinates):
1 Tc 0.000 0.000 0.000
2 Os 0.500 0.500 0.251
3 Rh 0.000 0.000 0.498
4 Rh 0.500 0.500 0.755

---

# 7
First-principles (SCAN) data for a PBEsol-optimized structure of CaBO3, as listed in Alexandria.

Summary:
formation energy from raw total energies = -13.08 eV per formula unit
DFT total energy = -0.718 Ry/atom

abc: 3.643 5.375 6.464
angles: 90.00 99.02 90.00
Atoms (fractional coordinates):
1 Ca 0.203 0.250 0.319
2 Ca 0.797 0.750 0.681
3 B 0.258 0.250 0.775
4 B 0.742 0.750 0.225
5 O 0.118 0.250 0.958
6 O 0.304 0.028 0.679
7 O 0.304 0.472 0.679
8 O 0.696 0.528 0.321
9 O 0.696 0.972 0.321
10 O 0.882 0.750 0.042

---

# 8
First-principles (SCAN) data for a PBEsol-optimized structure of BeH4N2, as listed in Alexandria.

Summary:
DFT total energy = -0.434 Ry/atom

abc: 10.691 10.691 10.691
angles: 124.31 124.31 82.69
Atoms (fractional coordinates):
1 Be 0.062 0.264 0.949
2 Be 0.113 0.062 0.298
3 Be 0.185 0.887 0.449
4 Be 0.236 0.438 0.551
5 Be 0.264 0.815 0.202
6 Be 0.315 0.764 0.702
7 Be 0.387 0.685 0.949
8 Be 0.438 0.387 0.202
9 Be 0.562 0.613 0.798
10 Be 0.613 0.315 0.051
11 Be 0.685 0.236 0.298
12 Be 0.736 0.185 0.798
13 Be 0.764 0.562 0.449
14 Be 0.815 0.113 0.551
15 Be 0.887 0.938 0.702
16 Be 0.938 0.736 0.051
17 H 0.005 0.741 0.666
18 H 0.007 0.645 0.229
19 H 0.050 0.657 0.892
20 H 0.074 0.591 0.493
21 H 0.075 0.241 0.237
22 H 0.080 0.098 0.507
23 H 0.084 0.222 0.729
24 H 0.091 0.574 0.993
25 H 0.098 0.091 0.017
26 H 0.145 0.507 0.729
27 H 0.157 0.550 0.392
28 H 0.158 0.050 0.893
29 H 0.161 0.925 0.666
30 H 0.222 0.993 0.138
31 H 0.235 0.843 0.893
32 H 0.241 0.505 0.166
33 H 0.259 0.425 0.263
34 H 0.265 0.158 0.608
35 H 0.278 0.416 0.771
36 H 0.339 0.005 0.763
37 H 0.342 0.235 0.892
38 H 0.343 0.735 0.393
39 H 0.355 0.084 0.362
40 H 0.402 0.420 0.993
41 H 0.409 0.402 0.483
42 H 0.416 0.145 0.138
43 H 0.420 0.926 0.017
44 H 0.425 0.661 0.166
45 H 0.426 0.920 0.517
46 H 0.450 0.342 0.607
47 H 0.493 0.722 0.638
48 H 0.495 0.161 0.737
49 H 0.505 0.839 0.263
50 H 0.507 0.278 0.362
51 H 0.550 0.658 0.393
52 H 0.574 0.080 0.483
53 H 0.575 0.339 0.834
54 H 0.580 0.074 0.983
55 H 0.584 0.855 0.862
56 H 0.591 0.598 0.517
57 H 0.598 0.580 0.007
58 H 0.645 0.916 0.638
59 H 0.657 0.265 0.607
60 H 0.658 0.765 0.108
61 H 0.661 0.995 0.237
62 H 0.722 0.584 0.229
63 H 0.735 0.842 0.392
64 H 0.741 0.575 0.737
65 H 0.759 0.495 0.834
66 H 0.765 0.157 0.107
67 H 0.778 0.007 0.862
68 H 0.839 0.075 0.334
69 H 0.842 0.950 0.107
70 H 0.843 0.450 0.608
71 H 0.855 0.493 0.271
72 H 0.902 0.909 0.983
73 H 0.909 0.426 0.007
74 H 0.916 0.778 0.271
75 H 0.920 0.902 0.493
76 H 0.925 0.759 0.763
77 H 0.926 0.409 0.507
78 H 0.950 0.343 0.108
79 H 0.993 0.355 0.771
80 H 0.995 0.259 0.334
81 N 0.001 0.751 0.250
82 N 0.066 0.081 0.901
83 N 0.081 0.680 0.015
84 N 0.100 0.250 0.350
85 N 0.165 0.066 0.485
86 N 0.180 0.581 0.515
87 N 0.249 0.999 0.250
88 N 0.250 0.400 0.150
89 N 0.250 0.900 0.650
90 N 0.251 0.501 0.750
91 N 0.320 0.835 0.401
92 N 0.335 0.820 0.901
93 N 0.400 0.750 0.150
94 N 0.419 0.434 0.599
95 N 0.434 0.335 0.015
96 N 0.499 0.749 0.750
97 N 0.501 0.251 0.250
98 N 0.566 0.665 0.985
99 N 0.581 0.566 0.401
100 N 0.600 0.250 0.850
101 N 0.665 0.180 0.099
102 N 0.680 0.165 0.599
103 N 0.749 0.499 0.250
104 N 0.750 0.100 0.350
105 N 0.750 0.600 0.850
106 N 0.751 0.001 0.750
107 N 0.820 0.419 0.485
108 N 0.835 0.934 0.515
109 N 0.900 0.750 0.650
110 N 0.919 0.320 0.985
111 N 0.934 0.919 0.099
112 N 0.999 0.249 0.750

---

# 9
First-principles (SCAN) data for a PBEsol-optimized structure of MgNiP, as listed in Alexandria.

Summary:
ΔH_f (0 K) = -0.160 eV/atom
DFT total energy = -0.785 Ry/atom

abc: 3.006 3.006 5.626
angles: 90.00 90.00 120.00
Atoms (fractional coordinates):
1 Mg 0.000 0.000 0.000
2 Ni 0.333 0.667 0.628
3 P 0.667 0.333 0.388

---

# 10
First-principles (SCAN) data for a PBEsol-optimized structure of Sr2Li, as listed in Alexandria.

Summary:
ΔH_f (0 K) = 0.021 eV/atom
DFT total energy = -1.148 Ry/atom

abc: 11.242 11.242 11.242
angles: 60.00 60.00 60.00
Atoms (fractional coordinates):
1 Sr 0.000 0.000 0.000
2 Sr 0.000 0.000 0.500
3 Sr 0.000 0.500 0.000
4 Sr 0.187 0.187 0.563
5 Sr 0.187 0.563 0.187
6 Sr 0.187 0.563 0.563
7 Sr 0.437 0.437 0.813
8 Sr 0.437 0.813 0.437
9 Sr 0.437 0.813 0.813
10 Sr 0.500 0.000 0.000
11 Sr 0.563 0.187 0.187
12 Sr 0.563 0.187 0.563
13 Sr 0.563 0.563 0.187
14 Sr 0.813 0.437 0.437
15 Sr 0.813 0.437 0.813
16 Sr 0.813 0.813 0.437
17 Li 0.123 0.792 0.792
18 Li 0.208 0.208 0.208
19 Li 0.208 0.208 0.877
20 Li 0.208 0.877 0.208
21 Li 0.792 0.123 0.792
22 Li 0.792 0.792 0.123
23 Li 0.792 0.792 0.792
24 Li 0.877 0.208 0.208

---

# 11
First-principles (SCAN) data for a PBEsol-optimized structure of In5Hg4, as listed in Alexandria.

Summary:
ΔH_f (0 K) = 0.040 eV/atom
DFT total energy = -3.587 Ry/atom

abc: 9.144 9.144 6.091
angles: 90.00 90.00 120.00
Atoms (fractional coordinates):
1 In 0.000 0.301 0.250
2 In 0.000 0.699 0.750
3 In 0.301 0.000 0.250
4 In 0.301 0.301 0.750
5 In 0.333 0.667 0.000
6 In 0.333 0.667 0.500
7 In 0.667 0.333 0.000
8 In 0.667 0.333 0.500
9 In 0.699 0.000 0.750
10 In 0.699 0.699 0.250
11 Hg 0.000 0.000 0.000
12 Hg 0.000 0.000 0.500
13 Hg 0.000 0.364 0.750
14 Hg 0.000 0.636 0.250
15 Hg 0.364 0.000 0.750
16 Hg 0.364 0.364 0.250
17 Hg 0.636 0.000 0.250
18 Hg 0.636 0.636 0.750

---

# 12
First-principles (SCAN) data for a PBEsol-optimized structure of BaTi8O16, as listed in Alexandria.

Summary:
formation energy from raw total energies = -83.42 eV per formula unit
DFT total energy = -1.032 Ry/atom

abc: 5.891 7.244 7.332
angles: 88.77 78.35 78.15
Atoms (fractional coordinates):
1 Ba 0.000 0.000 0.000
2 Ti 0.076 0.508 0.185
3 Ti 0.169 0.813 0.513
4 Ti 0.338 0.177 0.467
5 Ti 0.425 0.475 0.822
6 Ti 0.575 0.525 0.178
7 Ti 0.662 0.823 0.533
8 Ti 0.831 0.187 0.487
9 Ti 0.924 0.492 0.815
10 O 0.025 0.300 0.619
11 O 0.147 0.039 0.351
12 O 0.165 0.636 0.717
13 O 0.170 0.351 0.949
14 O 0.321 0.646 0.052
15 O 0.340 0.372 0.288
16 O 0.344 0.961 0.645
17 O 0.485 0.699 0.385
18 O 0.515 0.301 0.615
19 O 0.656 0.039 0.355
20 O 0.660 0.628 0.712
21 O 0.679 0.354 0.948
22 O 0.830 0.649 0.051
23 O 0.835 0.364 0.283
24 O 0.853 0.961 0.649
25 O 0.975 0.700 0.381

---

# 13
First-principles (SCAN) data for a PBEsol-optimized structure of TaSbPb2, as listed in Alexandria.

Summary:
formation energy from raw total energies = 1.08 eV per formula unit
DFT total energy = -4.673 Ry/atom

abc: 3.894 5.036 10.293
angles: 90.00 90.00 90.00
Atoms (fractional coordinates):
1 Ta 0.000 0.000 0.000
2 Ta 0.500 0.500 0.000
3 Sb 0.000 0.500 0.805
4 Sb 0.500 0.000 0.805
5 Pb 0.000 0.000 0.502
6 Pb 0.000 0.500 0.220
7 Pb 0.500 0.000 0.220
8 Pb 0.500 0.500 0.502

---

# 14
First-principles (SCAN) data for a PBEsol-optimized structure of ZnTcSe2, as listed in Alexandria.

Summary:
formation energy from raw total energies = 1.83 eV per formula unit
DFT total energy = -1.597 Ry/atom

abc: 3.226 3.226 24.213
angles: 90.00 90.00 120.00
Atoms (fractional coordinates):
1 Zn 0.000 0.000 0.000
2 Zn 0.333 0.667 0.667
3 Zn 0.667 0.333 0.333
4 Tc 0.000 0.000 0.500
5 Tc 0.333 0.667 0.167
6 Tc 0.667 0.333 0.833
7 Se 0.000 0.000 0.403
8 Se 0.000 0.000 0.597
9 Se 0.333 0.667 0.070
10 Se 0.333 0.667 0.263
11 Se 0.667 0.333 0.737
12 Se 0.667 0.333 0.930

---

# 15
First-principles (SCAN) data for a PBEsol-optimized structure of ZrHgSe4, as listed in Alexandria.

Summary:
formation energy from raw total energies = 2.13 eV per formula unit
DFT total energy = -2.169 Ry/atom

abc: 5.616 5.616 5.616
angles: 60.00 60.00 60.00
Atoms (fractional coordinates):
1 Zr 0.000 0.000 0.000
2 Hg 0.250 0.250 0.250
3 Se 0.123 0.626 0.626
4 Se 0.626 0.123 0.626
5 Se 0.626 0.626 0.123
6 Se 0.626 0.626 0.626

---

# 16
First-principles (SCAN) data for a PBEsol-optimized structure of MgSe2N, as listed in Alexandria.

Summary:
formation energy from raw total energies = 4.11 eV per formula unit
DFT total energy = -0.924 Ry/atom

abc: 3.114 3.114 25.230
angles: 90.00 90.00 120.00
Atoms (fractional coordinates):
1 Mg 0.000 0.000 0.000
2 Mg 0.333 0.667 0.667
3 Mg 0.667 0.333 0.333
4 Se 0.000 0.000 0.109
5 Se 0.000 0.000 0.891
6 Se 0.333 0.667 0.557
7 Se 0.333 0.667 0.776
8 Se 0.667 0.333 0.224
9 Se 0.667 0.333 0.443
10 N 0.000 0.000 0.500
11 N 0.333 0.667 0.167
12 N 0.667 0.333 0.833

---

# 17
First-principles (SCAN) data for a PBEsol-optimized structure of LiMnZn4, as listed in Alexandria.

Summary:
ΔH_f (0 K) = -0.194 eV/atom
DFT total energy = -0.929 Ry/atom

abc: 4.955 4.955 4.955
angles: 60.00 60.00 60.00
Atoms (fractional coordinates):
1 Li 0.000 0.000 0.000
2 Mn 0.750 0.750 0.750
3 Zn 0.375 0.375 0.375
4 Zn 0.375 0.375 0.874
5 Zn 0.375 0.874 0.375
6 Zn 0.874 0.375 0.375

---

# 18
First-principles (SCAN) data for a PBEsol-optimized structure of CuOsPb2I, as listed in Alexandria.

Summary:
formation energy from raw total energies = 9.71 eV per formula unit
DFT total energy = -3.905 Ry/atom

abc: 5.924 5.924 4.735
angles: 90.00 90.00 90.00
Atoms (fractional coordinates):
1 Cu 0.000 0.000 0.000
2 Os 0.500 0.500 0.000
3 Pb 0.000 0.500 0.500
4 Pb 0.500 0.000 0.500
5 I 0.500 0.500 0.500

---

# 19
First-principles (SCAN) data for a PBEsol-optimized structure of LiPt2W, as listed in Alexandria.

Summary:
ΔH_f (0 K) = -0.493 eV/atom
DFT total energy = -3.940 Ry/atom

abc: 2.797 2.797 7.090
angles: 90.00 90.00 90.00
Atoms (fractional coordinates):
1 Li 0.000 0.000 0.000
2 Pt 0.500 0.500 0.236
3 Pt 0.500 0.500 0.764
4 W 0.000 0.000 0.500

---

# 20
First-principles (SCAN) data for a PBEsol-optimized structure of NiHgRh2C, as listed in Alexandria.

Summary:
ΔH_f (0 K) = 0.596 eV/atom
DFT total energy = -2.337 Ry/atom

abc: 3.906 3.906 4.523
angles: 90.00 90.00 90.00
Atoms (fractional coordinates):
1 Ni 0.000 0.000 0.000
2 Hg 0.500 0.500 0.000
3 Rh 0.000 0.500 0.500
4 Rh 0.500 0.000 0.500
5 C 0.500 0.500 0.500

---

M_tot in μB/f.u., matching the order above: 0.00; 0.00; 9.25; 0.00; 3.96; 0.00; 1.01; 0.00; 0.00; 0.05; 0.00; 2.11; 0.00; 0.00; 1.07; 0.00; 4.14; 0.00; 0.00; 1.19